(1)
DFT (GGA-PBE) results for a geometry-optimized Be2CuTc structure.

Cell and atoms, written as extended XYZ:
```
8
Lattice="2.5698 0.0000 0.0000 0.0000 4.0094 0.0000 0.0000 0.0000 8.3594" Properties=species:S:1:pos:R:3 pbc="T T T"
Be 0.0000 0.0000 0.0000
Be 0.0000 2.0047 2.2922
Be 1.2849 0.0000 6.4719
Be 1.2849 2.0047 4.1797
Cu 0.0000 2.0047 6.1171
Cu 1.2849 0.0000 1.9374
Tc 0.0000 0.0000 4.2472
Tc 1.2849 2.0047 0.0675
```

Computed properties:
The value obtained for the energy relative to the elements is -0.01 eV/atom. Its volume is 86 Å³ per cell. Its space group is Imm2. The value obtained for the energy above the most stable polymorph in this dataset is 0.141 eV per atom.

***

(2)
DFT (GGA-PBE) results for a geometry-optimized AgPt2W structure.

Cell and atoms, written as extended XYZ:
```
4
Lattice="4.9488 0.0000 0.0000 0.0000 2.7668 0.0000 -2.1138 0.0000 4.7004" Properties=species:S:1:pos:R:3 pbc="T T T"
Ag 0.0000 0.0000 0.0000
Pt 1.4175 0.0000 2.3502
Pt 2.4744 1.3834 0.0000
W -1.0569 1.3834 2.3502
```

Computed properties:
The value obtained for the energy relative to the elements is 0.20 eV/atom. Its volume is 64 Å³ per cell. Its space group is P2/m. The value obtained for the energy above the most stable polymorph in this dataset is 0.409 eV per atom.

***

(3)
DFT (GGA-PBE) results for a geometry-optimized PaTiBi4 structure.

Cell and atoms, written as extended XYZ:
```
12
Lattice="16.0661 0.0000 0.0000 0.0000 4.7201 0.0000 -0.0081 0.0000 4.7513" Properties=species:S:1:pos:R:3 pbc="T T T"
Pa 0.0000 0.0000 0.0000
Pa 8.0330 2.3600 0.0000
Ti -0.0040 2.3600 2.3756
Ti 8.0290 0.0000 2.3756
Bi 2.2783 0.0000 2.3803
Bi 2.2758 2.3600 0.0048
Bi 5.7492 0.0000 4.7465
Bi 5.7466 2.3600 2.3710
Bi 10.3088 0.0000 0.0048
Bi 10.3114 2.3600 2.3803
Bi 13.7797 0.0000 2.3710
Bi 13.7823 2.3600 4.7465
```

Computed properties:
The value obtained for the energy relative to the elements is -0.03 eV/atom. Its volume is 360 Å³ per cell. Its space group is C2/m. The value obtained for the energy above the most stable polymorph in this dataset is 0.005 eV per atom.

***

(4)
DFT (GGA-PBE) results for a geometry-optimized ZnReTc3 structure.

Cell and atoms, written as extended XYZ:
```
5
Lattice="4.3903 0.0000 0.0000 0.0000 4.3903 0.0000 0.0000 0.0000 4.3903" Properties=species:S:1:pos:R:3 pbc="T T T"
Zn 0.0000 0.0000 0.0000
Re 2.1951 2.1951 2.1951
Tc 0.0000 0.0000 2.1951
Tc 0.0000 2.1951 0.0000
Tc 2.1951 0.0000 0.0000
```

Computed properties:
The value obtained for the energy relative to the elements is 1.82 eV/atom. Its volume is 85 Å³ per cell. Its space group is Pm-3m. The value obtained for the energy above the most stable polymorph in this dataset is 0.151 eV per atom.

***

(5)
DFT (GGA-PBE) results for a geometry-optimized La4AlBr5 structure.

Cell and atoms, written as extended XYZ:
```
10
Lattice="9.6404 -2.1401 0.0000 9.6404 2.1401 0.0000 -2.0956 0.0000 8.7790" Properties=species:S:1:pos:R:3 pbc="T T T"
La -0.4832 0.0000 2.0874
La 4.6826 0.0000 8.0376
La 12.5025 0.0000 0.7414
La 17.6684 0.0000 6.6917
Al 9.6404 0.0000 0.0000
Br 2.5437 0.0000 2.8838
Br 1.5100 0.0000 7.3821
Br 8.5926 0.0000 4.3895
Br 15.6752 0.0000 1.3969
Br 14.6414 0.0000 5.8952
```

Computed properties:
Its volume is 362 Å³ per cell. Its space group is C2/m. The value obtained for the energy above the most stable polymorph in this dataset is 0.000 eV per atom. For the formation energy from raw total energies, the calculation gives -32.92 kcal/mol of atoms.

***

(6)
DFT (GGA-PBE) results for a geometry-optimized ZnCu4Rh structure.

Cell and atoms, written as extended XYZ:
```
12
Lattice="8.1146 0.0000 0.0000 0.0000 3.8088 0.0000 -1.5185 0.0000 4.9356" Properties=species:S:1:pos:R:3 pbc="T T T"
Zn 0.0000 0.0000 0.0000
Zn 4.0573 1.9044 0.0000
Cu 0.8460 1.9044 1.6338
Cu 0.1152 1.9044 4.1148
Cu 2.4235 0.0000 0.8207
Cu 1.6928 0.0000 3.3017
Cu 4.9033 0.0000 1.6338
Cu 4.1725 0.0000 4.1148
Cu 6.4808 1.9044 0.8207
Cu 5.7501 1.9044 3.3017
Rh -0.7593 0.0000 2.4678
Rh 3.2980 1.9044 2.4678
```

Computed properties:
The value obtained for the energy relative to the elements is -0.08 eV/atom. Its volume is 153 Å³ per cell. Its space group is C2/m. The value obtained for the energy above the most stable polymorph in this dataset is 0.000 eV per atom.

***

Question: Among the records above, which one has the highest volume?
Answer: La4AlBr5